Entry 1:
VASP calculation (GGA-PBEsol) on an optimized crystal structure of AlTeCl.

Cell: 4.775 4.775 4.775 Å, 60.00 60.00 60.00°
Fractional coordinates of all 3 atoms:
Te1 0.000 0.000 0.000
Al1 0.500 0.500 0.500
Cl1 0.250 0.250 0.250

For the density of states at the Fermi level, the calculation gives 0.7973 states/eV per atom. As for the raw total energy: -2.748 eV per atom. As for the crystal system: cubic.

Entry 2:
VASP calculation (GGA-PBEsol) on an optimized crystal structure of AlTeCl7.

Cell: 6.607 12.321 14.117 Å, 90.00 100.36 90.00°
Fractional coordinates of all 36 atoms:
Cl1 0.637 0.093 0.156
Cl2 0.833 0.882 0.762
Cl3 0.673 0.131 0.867
Cl4 0.327 0.869 0.133
Cl5 0.827 0.865 0.023
Te1 0.453 0.252 0.375
Al1 0.382 0.450 0.767
Te2 0.953 0.248 0.875
Te3 0.047 0.752 0.125
Al2 0.882 0.050 0.267
Cl6 0.367 0.147 0.499
Te4 0.547 0.748 0.625
Cl7 0.827 0.631 0.633
Cl8 0.173 0.135 0.977
Cl9 0.424 0.624 0.786
Cl10 0.667 0.382 0.738
Cl11 0.576 0.376 0.214
Cl12 0.076 0.124 0.714
Cl13 0.924 0.876 0.286
Cl14 0.133 0.647 0.001
Cl15 0.320 0.392 0.905
Cl16 0.333 0.618 0.262
Cl17 0.180 0.892 0.595
Cl18 0.673 0.365 0.477
Cl19 0.633 0.853 0.501
Cl20 0.863 0.593 0.344
Cl21 0.867 0.353 0.999
Cl22 0.137 0.407 0.656
Cl23 0.327 0.635 0.523
Cl24 0.173 0.369 0.367
Al3 0.118 0.950 0.733
Cl25 0.680 0.608 0.095
Cl26 0.820 0.108 0.405
Al4 0.618 0.550 0.233
Cl27 0.363 0.907 0.844
Cl28 0.167 0.118 0.238

For the density of states at the Fermi level, the calculation gives 0.0000 states/eV per atom. As for the raw total energy: -3.407 eV per atom. As for the crystal system: monoclinic.

Entry 3:
VASP calculation (GGA-PBEsol) on an optimized crystal structure of AlTeCl.

Cell: 3.822 3.822 6.412 Å, 90.00 90.00 120.00°
Fractional coordinates of all 3 atoms:
Te1 0.333 0.667 0.227
Al1 0.000 0.000 0.004
Cl1 0.667 0.333 0.769

As for the raw total energy: -3.906 eV per atom. As for the crystal system: trigonal.

Entry 4:
VASP calculation (GGA-PBEsol) on an optimized crystal structure of AlTlCl2.

Cell: 3.403 4.800 6.879 Å, 110.42 104.32 90.00°
Fractional coordinates of all 4 atoms:
Al1 0.276 0.776 0.551
Cl1 0.921 0.921 0.841
Tl1 0.570 0.570 0.140
Cl2 0.734 0.234 0.468

For the density of states at the Fermi level, the calculation gives 0.0505 states/eV per atom. As for the raw total energy: -3.294 eV per atom. As for the crystal system: orthorhombic.

Entry 5:
VASP calculation (GGA-PBEsol) on an optimized crystal structure of AlTl2Cl.

Cell: 3.334 3.334 9.121 Å, 90.00 90.00 104.90°
Fractional coordinates of all 4 atoms:
Al1 0.500 0.500 0.500
Cl1 0.500 0.500 0.000
Tl1 0.000 0.000 0.757
Tl2 0.000 0.000 0.243

For the density of states at the Fermi level, the calculation gives 0.4686 states/eV per atom. As for the raw total energy: -2.946 eV per atom. As for the crystal system: orthorhombic.

Entry 6:
VASP calculation (GGA-PBEsol) on an optimized crystal structure of AlTlCl2.

Cell: 3.914 3.914 6.567 Å, 90.00 90.00 90.00°
Fractional coordinates of all 4 atoms:
Cl1 0.000 0.000 0.940
Tl1 0.000 0.000 0.469
Cl2 0.500 0.500 0.223
Al1 0.500 0.500 0.868

As for the raw total energy: -3.330 eV per atom. As for the crystal system: tetragonal.